La3MgHg4 | Alexandria via LeMat-Bulk | PBE | optimized geometry; crystal system = trigonal; ΔE_f = -471.0 meV per atom; E_tot = -21.35 eV/cell; N(E_F) = 0.920 states/eV per atom
1.0
5.1339 0.0000 1.5155
2.3433 4.5679 1.5155
-0.0457 -0.0279 9.6086
Hg La Mg
4 3 1
Cartesian
6.5297 3.9891 6.2404 Hg
2.7622 1.6875 9.5500 Hg
4.6692 2.8525 3.0896 Hg
0.9017 0.5508 6.3991 Hg
1.9154 1.1702 2.9649 La
5.5160 3.3698 9.6746 La
3.7157 2.2700 6.3198 La
0.0000 0.0000 0.0000 Mg

***

LaMg6Hg2 | Alexandria via LeMat-Bulk | PBE | optimized geometry; crystal system = tetragonal; ΔE_f = -199.9 meV per atom; E_tot = -16.90 eV/cell; N(E_F) = 0.576 states/eV per atom
1.0
4.4732 0.0000 0.0000
0.0000 4.4732 0.0000
0.0000 0.0000 11.0391
Mg Hg La
6 2 1
Cartesian
0.0000 0.0000 5.5195 Mg
2.2366 2.2366 5.5195 Mg
0.0000 2.2366 7.8198 Mg
2.2366 0.0000 7.8198 Mg
2.2366 0.0000 3.2193 Mg
0.0000 2.2366 3.2193 Mg
2.2366 2.2366 9.5941 Hg
2.2366 2.2366 1.4450 Hg
0.0000 0.0000 0.0000 La

***

La6Mg5Hg | Alexandria via LeMat-Bulk | PBE | optimized geometry; crystal system = orthorhombic; ΔE_f = -177.8 meV per atom; E_tot = -39.97 eV/cell; N(E_F) = 1.199 states/eV per atom
1.0
5.3021 -0.0317 1.7670
0.0424 7.8909 0.0141
-0.0028 -0.0159 8.8468
La Mg Hg
6 5 1
Cartesian
4.4365 1.9483 4.3999 La
0.9052 5.8951 6.2280 La
2.6830 5.9251 0.8941 La
0.8841 1.9641 6.2210 La
4.4576 5.8792 4.4069 La
2.6615 1.9341 0.8870 La
1.7825 3.9296 3.5604 Mg
1.7354 -0.0159 3.6310 Mg
3.5639 -0.0317 6.9828 Mg
3.5592 3.9137 7.0675 Mg
0.0212 3.9455 0.0071 Mg
0.0000 0.0000 0.0000 Hg

***

LaMgHg | Alexandria via LeMat-Bulk | PBE | optimized geometry; crystal system = cubic; ΔE_f = 129.1 meV per atom; E_tot = -6.44 eV/cell; N(E_F) = 1.243 states/eV per atom
1.0
5.2248 0.0000 0.0000
2.6124 4.5248 0.0000
2.6124 1.5083 4.2661
La Mg Hg
1 1 1
Cartesian
7.8373 4.5248 3.1995 La
0.0000 0.0000 0.0000 Mg
5.2248 3.0166 2.1330 Hg

***

La8Mg2Hg | Alexandria via LeMat-Bulk | PBE | optimized geometry; crystal system = monoclinic; ΔE_f = -107.6 meV per atom; E_tot = -44.09 eV/cell; N(E_F) = 1.176 states/eV per atom
1.0
-3.1519 0.5304 4.6761
4.2168 -7.0868 3.6461
4.4938 7.6717 -1.2716
La Mg Hg
8 2 1
Cartesian
0.8115 -1.4707 4.1442 La
2.0868 5.0868 4.2600 La
3.4719 -3.9715 2.7906 La
4.0047 0.2757 6.0984 La
2.0819 4.6999 0.8702 La
1.5540 0.8396 0.9522 La
4.7472 2.5861 2.9065 La
3.4768 -3.5846 6.1805 La
3.9285 -0.6936 2.7266 Mg
1.6302 1.8089 4.3240 Mg
-1.5759 0.2652 2.3381 Hg

***

La5Mg4Hg4 | Alexandria via LeMat-Bulk | PBE | optimized geometry; crystal system = tetragonal; ΔE_f = -356.1 meV per atom; E_tot = -36.85 eV/cell; N(E_F) = 0.792 states/eV per atom
1.0
4.6538 0.0000 1.1832
2.3269 8.7815 0.5916
0.1630 0.0000 9.1023
Hg La Mg
4 5 4
Cartesian
0.8432 1.7292 6.4273 Hg
6.3006 7.0523 4.4498 Hg
2.9160 6.0214 8.0180 Hg
4.2277 2.7601 2.8591 Hg
4.4895 5.8178 1.8292 La
0.0000 0.0000 0.0000 La
5.5471 8.1149 7.4133 La
1.5966 0.6665 3.4639 La
2.6542 2.9637 9.0479 La
3.6257 5.9692 5.2269 Mg
1.6339 4.1723 3.3172 Mg
3.5180 2.8123 5.6503 Mg
5.5098 4.6091 7.5600 Mg

***

La3MgHg2 | Alexandria via LeMat-Bulk | PBE | optimized geometry; crystal system = orthorhombic; ΔE_f = -376.1 meV per atom; E_tot = -19.24 eV/cell; E above lowest polymorph = 0.0 kJ/mol of atoms; N(E_F) = 1.102 states/eV per atom
1.0
3.9196 0.0000 0.0000
0.0000 5.2300 -1.7314
0.0000 0.0206 8.8270
Hg Mg La
2 1 3
Cartesian
0.0000 3.4398 1.6260 Hg
0.0000 1.8107 5.4696 Hg
0.0000 0.0000 0.0000 Mg
1.9598 2.6150 -0.8657 La
1.9598 4.3534 4.3855 La
1.9598 0.8972 2.7101 La

***

LaMg2Hg | Alexandria via LeMat-Bulk | PBE | optimized geometry; crystal system = monoclinic; ΔE_f = -224.7 meV per atom; E_tot = -9.32 eV/cell; N(E_F) = 0.696 states/eV per atom
1.0
4.8505 0.0000 0.0000
0.0000 3.3916 0.0066
0.0000 1.6730 6.4695
Mg Hg La
2 1 1
Cartesian
2.4252 1.9065 1.5439 Mg
0.0000 0.2091 0.3683 Mg
0.0000 1.8948 3.1669 Hg
2.4252 3.5865 4.6350 La

***

Which value of ΔE_f does entry 1 give? -471.0 meV per atom

***

N(E_F) of number 6 (La5Mg4Hg4)? 0.792 states/eV per atom